A plane-wave DFT calculation with PBE was carried out for a relaxed YSi3Cl crystal.

Properties
- formation energy without anion corrections (eV per atom) = 0.54
- V (Å³ per cell) = 106
- spin magnetization (μB/cell) = 0.00
- offset from the most stable computed form (eV per formula unit) = 0.00
- D(E_F) (states/eV/cell) = 3.756
- ρ (g cm⁻³) = 3.26
- raw total energy (eV per atom) = -4.380

Cell: 4.7376 4.7376 4.7376 Å, 90.00 90.00 90.00°
Space group Pm-3m (No. 221)
Asymmetric unit:
Y 0.0000 0.0000 0.0000 [1 per cell]
Si 0.0000 0.5000 0.5000 [3 per cell]
Cl 0.5000 0.5000 0.5000 [1 per cell]